## TbPmPu (GGA-PBE)

Data for an optimized crystal structure of TbPmPu.

Lattice parameters (Å, degrees): 5.355 5.355 5.355 60.00 60.00 60.00
Atoms (fractional coordinates):
Tb 0.250 0.250 0.250
Pu 0.000 0.000 0.000
Pm 0.750 0.750 0.750

Results
Formation enthalpy at 0 K   75.6 kJ per mole of atoms
Energy above the most stable polymorph in this dataset   0.000 eV/atom
Space group   No. 216

***

## Pm4Pu3Te8 (GGA-PBE)

Data for an optimized crystal structure of Pm4Pu3Te8.

Lattice parameters (Å, degrees): 8.870 8.870 8.870 119.92 119.92 90.07
Atoms (fractional coordinates):
Pu 0.500 0.000 0.000
Pu 0.000 0.500 0.000
Pu 0.000 0.000 0.000
Te 0.255 0.745 0.500
Te 0.745 0.255 0.500
Te 0.751 0.249 0.000
Te 0.249 0.751 0.000
Te 0.253 0.253 0.008
Te 0.255 0.255 0.499
Te 0.747 0.747 0.992
Te 0.745 0.745 0.501
Pm 0.500 0.500 0.000
Pm 0.000 0.000 0.500
Pm 0.500 0.000 0.500
Pm 0.000 0.500 0.500

Results
Space group   No. 12
DFT total energy   -7.123 eV/atom

***

## PmPuTe (GGA-PBE)

Data for an optimized crystal structure of PmPuTe.

Lattice parameters (Å, degrees): 5.178 5.178 5.178 60.00 60.00 60.00
Atoms (fractional coordinates):
Pm 0.250 0.250 0.250
Te 0.000 0.000 0.000
Pu 0.750 0.750 0.750

Results
Energy above the most stable polymorph in this dataset   0.000 eV/atom
Space group   No. 216